VASP calculation (PBE) on crystalline CaPbSe at its relaxed geometry.

Summary:
The uncorrected formation energy is -0.692 eV per atom. The energy above the most stable polymorph in this dataset comes out at 296 meV per atom. Its calculated density is 5.561 g/cm3.

a = 4.1082 Å, b = 4.1082 Å, c = 6.6647 Å
α = 90.00°, β = 90.00°, γ = 120.00°
With the nearest neighbours (Å) after each atom.
Positions (direct):
Ca (0.0000, 0.0000, 0.0000)  3 Se 2.83
Pb (0.3333, 0.6667, 0.4394)  3 Se 3.23
Se (0.6667, 0.3333, 0.7681)  3 Ca 2.83

=====

VASP calculation (PBE) on crystalline K3Rb4I3O2 at its relaxed geometry.

Summary:
The uncorrected formation energy is -1.271 eV per atom. Its calculated density is 3.233 g/cm3.

a = 15.1688 Å, b = 15.1688 Å, c = 15.1688 Å
α = 159.46°, β = 158.54°, γ = 29.88°
With the nearest neighbours (Å) after each atom.
Positions (direct):
K (0.0000, 0.0000, 0.0000)  2 O 2.71
K (0.0922, 0.5922, 0.5000)  2 O 2.70
K (0.9078, 0.4078, 0.5000)  2 O 2.70
Rb (0.1854, 0.1854, 0.0000)  1 O 2.73
Rb (0.4080, 0.9080, 0.5000)  2 O 2.82
Rb (0.5920, 0.0920, 0.5000)  2 O 2.82
Rb (0.8146, 0.8146, 0.0000)  1 O 2.73
I (0.3170, 0.3170, 0.0000)  7 Rb 3.80-3.91, 2 K 3.88
I (0.5000, 0.5000, 0.0000)  4 Rb 3.82, 8 K 3.91
I (0.6830, 0.6830, 0.0000)  7 Rb 3.80-3.91, 2 K 3.88
O (0.0923, 0.0923, 0.0000)  3 K 2.70-2.71, 3 Rb 2.73-2.82
O (0.9077, 0.9077, 0.0000)  3 K 2.70-2.71, 3 Rb 2.73-2.82

=====

VASP calculation (PBE) on crystalline Zn2CoI at its relaxed geometry.

Summary:
The uncorrected formation energy is 0.610 eV per atom. The energy above the most stable polymorph in this dataset comes out at 0 meV per atom. Its calculated density is 4.976 g/cm3.

a = 6.6725 Å, b = 6.6725 Å, c = 6.6725 Å
α = 119.59°, β = 119.59°, γ = 90.70°
With the nearest neighbours (Å) after each atom.
Positions (direct):
Zn (0.0658, 0.6250, 0.9408)  2 Co 2.42
Zn (0.3750, 0.3158, 0.4408)  2 Co 2.42
Zn (0.6842, 0.1250, 0.0592)  2 Co 2.42
Zn (0.8750, 0.9342, 0.5592)  2 Co 2.42
Co (0.0000, 0.0000, 0.0000)  4 Zn 2.42
Co (0.7500, 0.2500, 0.5000)  4 Zn 2.42
I (0.2500, 0.7500, 0.5000)  4 Zn 2.92
I (0.5000, 0.5000, 0.0000)  4 Zn 2.92

=====

Copy entry 1 word for word.
VASP calculation (PBE) on crystalline CaPbSe at its relaxed geometry.

Summary:
The uncorrected formation energy is -0.692 eV per atom. The energy above the most stable polymorph in this dataset comes out at 296 meV per atom. Its calculated density is 5.561 g/cm3.

a = 4.1082 Å, b = 4.1082 Å, c = 6.6647 Å
α = 90.00°, β = 90.00°, γ = 120.00°
With the nearest neighbours (Å) after each atom.
Positions (direct):
Ca (0.0000, 0.0000, 0.0000)  3 Se 2.83
Pb (0.3333, 0.6667, 0.4394)  3 Se 3.23
Se (0.6667, 0.3333, 0.7681)  3 Ca 2.83